10
Lattice="5.126 0.000 0.000 0.000 5.126 0.000 0.000 0.000 4.795" Properties=species:S:1:pos:R:3 comment="GGA+U MnCd2AsO6, relaxed" final_energy_ev_per_atom=-5.43 magnetic_moment_mub_per_cell=4.0 volume_a3_per_cell=126.0 sg="P4mm (99)" pbc="T T T"
Mn 0.000 0.000 0.000
Cd 0.000 2.563 2.103
Cd 2.563 0.000 2.103
As 2.563 2.563 4.757
O 0.000 0.000 2.788
O 1.337 1.337 0.516
O 1.337 3.789 0.516
O 2.563 2.563 3.017
O 3.789 1.337 0.516
O 3.789 3.789 0.516